Below is a geometry-optimized TmV2SnO8 structure, with properties calculated at the PBE with a Hubbard U level.

## Properties
calculated volume = 15.530 Å³ per atom
energy = -87.7 eV/cell

Cell and atoms, written as CIF:
```
data_TmV2SnO8
_chemical_formula_sum 'Tm1 V2 Sn1 O8'
_space_group_name_H-M_alt 'P -3 m 1'
_space_group_IT_number 164
_space_group_name_Hall '-P 3 2"'
_cell_length_a 5.8135
_cell_length_b 5.8135
_cell_length_c 6.3673
_cell_angle_alpha 90.00
_cell_angle_beta 90.00
_cell_angle_gamma 120.00
loop_
_atom_site_label
_atom_site_type_symbol
_atom_site_fract_x
_atom_site_fract_y
_atom_site_fract_z
_atom_site_occupancy
Tm1 Tm 0.0000 0.0000 0.0000 1
V1 V 0.3333 0.6667 0.3186 1
Sn1 Sn 0.0000 0.0000 0.5000 1
O1 O 0.1614 0.3228 0.2410 1
O2 O 0.3333 0.6667 0.5749 1
```